The following is a GGA-PBE calculation of a geometry-optimized PuPaS4 structure, from Alexandria via LeMat-Bulk.

```
PuPaS4
1.0
4.3899 -4.4724 0.0000
4.3899 4.4724 0.0000
0.0000 0.0000 4.1775
Pu Pa S
1 1 4
direct
0.0000 0.0000 0.0000
0.5000 0.5000 0.5000
0.1995 0.1995 0.5000
0.3131 0.6869 0.0000
0.6869 0.3131 0.0000
0.8005 0.8005 0.5000
```

Results
ρ in g/cm³: 6.107
SG: Cmmm (65)
VASP energy in eV for the cell shown: -49.412

The following is a GGA-PBE calculation of a geometry-optimized Re2OsSe structure, from Alexandria via LeMat-Bulk.

```
Re2OsSe
1.0
-1.4709 2.2309 4.5320
1.4709 -2.2309 4.5320
1.4709 2.2309 -4.5320
Re Os Se
2 1 1
direct
0.0000 0.0000 0.0000
0.7282 0.2282 0.5000
0.4559 0.4559 0.0000
0.2279 0.7279 0.5000
```

Results
ρ in g/cm³: 17.911
SG: Imm2 (44)
VASP energy in eV for the cell shown: -37.615